# 1
Material: Pm2Mn2N5
Method: DFT, GGA-PBE
State: relaxed

Unit cell a=3.7902 b=3.7902 c=7.3572 alpha=90.00 beta=90.00 gamma=90.00
Closest atoms and distances in Å follow each position.
Space group P4/mmm (No. 123)
One atom of each set of equivalent atoms:
Pm 0.0000 0.0000 0.0000 x1  12 N 2.68-2.78
Pm 0.0000 0.0000 0.5000 x1  8 N 2.51
Mn 0.5000 0.5000 0.2388 x2  5 N 1.76-1.91
N 0.0000 0.5000 0.2758 x4  2 Mn 1.91
N 0.5000 0.5000 0.0000 x1  2 Mn 1.76

Summary:
M_tot: 0.27 μB per atom
Total DFT energy (no corrections): -75.4 eV per cell
Formation energy without anion corrections: -0.655 eV per atom


# 2
Material: Pm3MnN5
Method: DFT, GGA-PBE
State: relaxed

Unit cell a=6.6859 b=6.6859 c=11.0042 alpha=90.00 beta=90.00 gamma=90.00
Closest atoms and distances in Å follow each position.
Space group I4/mcm (No. 140)
One atom of each set of equivalent atoms:
Pm 0.0000 0.0000 0.2500 x4  10 N 2.75-2.78
Pm 0.1737 0.3263 0.0000 x8  4 N 2.41-2.47
Mn 0.0000 0.5000 0.2500 x4  4 N 1.73
N 0.0000 0.0000 0.0000 x4  6 Pm 2.47-2.75
N 0.1442 0.3558 0.3465 x16  1 Mn 1.73

Summary:
M_tot: 0.04 μB per atom
Total DFT energy (no corrections): -296.9 eV per cell
Formation energy without anion corrections: -1.020 eV per atom


# 3
Material: PmPr2Mn2N6
Method: DFT, GGA-PBE
State: relaxed

Unit cell a=5.6050 b=5.6050 c=18.3498 alpha=90.00 beta=90.00 gamma=120.00
Closest atoms and distances in Å follow each position.
Space group R-3m (No. 166, hexagonal axes)
One atom of each set of equivalent atoms:
Pm 0.0000 0.0000 0.0000 x3  6 N 2.43
Pr 0.0000 0.0000 0.2102 x6  9 N 2.62-2.84
Mn 0.0000 0.0000 0.4059 x6  3 N 1.68
N 0.0024 0.5012 0.2348 x18  1 Mn 1.68

Summary:
M_tot: 0.09 μB per atom
Total DFT energy (no corrections): -270.0 eV per cell
Formation energy without anion corrections: -0.673 eV per atom


# 4
Material: Pm2PrMnN4
Method: DFT, GGA-PBE
State: relaxed

Unit cell a=3.4966 b=11.8262 c=12.0092 alpha=90.00 beta=90.00 gamma=90.00
Closest atoms and distances in Å follow each position.
Space group Cmcm (No. 63)
One atom of each set of equivalent atoms:
Pm 0.0000 0.1311 0.0450 x8  6 N 2.40-2.63
Pr 0.0000 0.3961 0.2500 x4  6 N 2.69-2.79
Mn 0.0000 0.3340 0.7500 x4  4 N 1.87-2.03
N 0.0000 0.0794 0.2500 x4  2 Mn 2.03
N 0.0000 0.2291 0.6332 x8  1 Mn 1.87
N 0.0000 0.5000 0.0000 x4  4 Pm 2.40

Summary:
M_tot: 0.43 μB per atom
Total DFT energy (no corrections): -259.7 eV per cell
Formation energy without anion corrections: -1.023 eV per atom